Here is an optimized crystal structure of Ta3VCd from Alexandria. Energies are from PBE.

It has space group Pm-3m (No. 221), with a = 4.948 Å, b = 4.948 Å, c = 4.948 Å, α = 90.00°, β = 90.00° and γ = 90.00°. The inequivalent atoms are Ta at (0.000, 0.000, 0.500), V at (0.500, 0.500, 0.500) and Cd at (0.000, 0.000, 0.000).

As for the crystal system: cubic.

---

Here is an optimized crystal structure of TaVCd from Alexandria. Energies are from PBE.

It has space group Cmmm (No. 65), with a = 4.414 Å, b = 13.984 Å, c = 3.391 Å, α = 90.00°, β = 90.00° and γ = 90.00°. The inequivalent atoms are Ta at (0.000, 0.176, 0.000), V at (0.000, 0.325, 0.500), Cd at (0.000, 0.000, 0.500) and Cd at (0.000, 0.500, 0.000).

As for the crystal system: orthorhombic.

---

Here is an optimized crystal structure of TaV3Cd from Alexandria. Energies are from PBE.

It has space group Pm-3m (No. 221), with a = 4.654 Å, b = 4.654 Å, c = 4.654 Å, α = 90.00°, β = 90.00° and γ = 90.00°. The inequivalent atoms are Ta at (0.000, 0.000, 0.000), V at (0.000, 0.000, 0.500) and Cd at (0.500, 0.500, 0.500).

As for the crystal system: cubic.

---

Number 1: energy relative to the lowest polymorph listed for this composition 1280 meV/atom, volume 24.23 A^3/atom, formation energy from the elements 11.9 eV per formula unit. Number 2: energy relative to the lowest polymorph listed for this composition 5 meV/atom, volume 17.44 A^3/atom, formation energy from the elements 0.5 eV per formula unit. Number 3: energy relative to the lowest polymorph listed for this composition 0 meV/atom, volume 20.16 A^3/atom, formation energy from the elements 6.8 eV per formula unit.